The following is a GGA-PBE calculation of an optimized crystal structure of TlCr2Pb, from the Alexandria database.

Properties
calculated formation energy: 3.557 eV/f.u.
D(E_F): 0.73 states/eV/atom
volume: 23.3 Å³ per atom
space-group type: I-42d (122)
energy: -5.44 eV per atom
crystal system: tetragonal
energy above the lowest structure with this stoichiometry: 473 meV per atom

Cell: 7.684 7.684 6.317 Å, 90.00 90.00 90.00°
Positions (direct):
Tl  0.000  0.000  0.000
Tl  0.000  0.500  0.250
Tl  0.500  0.000  0.750
Tl  0.500  0.500  0.500
Cr  0.249  0.750  0.125
Cr  0.250  0.249  0.875
Cr  0.250  0.251  0.375
Cr  0.251  0.750  0.625
Cr  0.749  0.250  0.625
Cr  0.750  0.749  0.375
Cr  0.750  0.751  0.875
Cr  0.751  0.250  0.125
Pb  0.000  0.000  0.500
Pb  0.000  0.500  0.750
Pb  0.500  0.000  0.250
Pb  0.500  0.500  0.000